# BeHg2

A geometry-optimized BeHg2 structure (GGA-PBE, the Alexandria database).

## Properties
Raw total energy ... -13.2 eV/cell
Offset from the most stable computed form ... 37.8 meV/atom
Energy of formation from the pure elements ... 340 meV per atom
Crystal system ... cubic
Space-group type ... No. 205

Cell and atoms, written as POSCAR:
```
BeHg2
1.0
6.213 0.000 0.000
0.000 6.213 0.000
0.000 0.000 6.213
Be Hg
4 8
direct
0.000 0.000 0.000
0.000 0.500 0.500
0.500 0.000 0.500
0.500 0.500 0.000
0.201 0.701 0.799
0.201 0.799 0.299
0.299 0.201 0.799
0.299 0.299 0.299
0.701 0.701 0.701
0.701 0.799 0.201
0.799 0.201 0.701
0.799 0.299 0.201
```


# SrFe2Ru

A geometry-optimized SrFe2Ru structure (GGA-PBE, the Alexandria database).

## Properties
Raw total energy ... -24.6 eV/cell
Energy of formation from the pure elements ... 824 meV per atom
Crystal system ... cubic
Space-group type ... No. 216

Cell and atoms, written as POSCAR:
```
SrFe2Ru
1.0
0.000 3.241 3.241
3.241 0.000 3.241
3.241 3.241 0.000
Sr Fe Ru
1 2 1
direct
0.000 0.000 0.000
0.500 0.500 0.500
0.750 0.750 0.750
0.250 0.250 0.250
```


# La5SmDy2

A geometry-optimized La5SmDy2 structure (GGA-PBE, the Alexandria database).

## Properties
Raw total energy ... -75.1 eV/cell
Energy of formation from the pure elements ... 129 meV per atom
Crystal system ... tetragonal
Space-group type ... No. 140

Cell and atoms, written as POSCAR:
```
La5SmDy2
1.0
-4.520 4.520 6.926
4.520 -4.520 6.926
4.520 4.520 -6.926
La Sm Dy
10 2 4
direct
0.000 0.000 0.000
0.017 0.517 0.203
0.186 0.983 0.500
0.314 0.814 0.797
0.483 0.686 0.500
0.500 0.500 0.000
0.517 0.314 0.500
0.686 0.186 0.203
0.814 0.017 0.500
0.983 0.483 0.797
0.250 0.250 0.000
0.750 0.750 0.000
0.145 0.355 0.500
0.355 0.855 0.209
0.645 0.145 0.791
0.855 0.645 0.500
```


# SnSb2H

A geometry-optimized SnSb2H structure (GGA-PBE, the Alexandria database).

## Properties
Raw total energy ... -13.4 eV/cell
Offset from the most stable computed form ... 351.3 meV/atom
Crystal system ... cubic
Space-group type ... No. 225

Cell and atoms, written as POSCAR:
```
SnSb2H
1.0
0.000 3.563 3.563
3.563 0.000 3.563
3.563 3.563 0.000
Sn Sb H
1 2 1
direct
0.000 0.000 0.000
0.250 0.250 0.250
0.750 0.750 0.750
0.500 0.500 0.500
```


# PuPdPt2

A geometry-optimized PuPdPt2 structure (GGA-PBE, the Alexandria database).

## Properties
Raw total energy ... -30.6 eV/cell
Energy of formation from the pure elements ... 255 meV per atom
Crystal system ... hexagonal
Space-group type ... No. 187

Cell and atoms, written as POSCAR:
```
PuPdPt2
1.0
4.850 0.000 0.000
-2.425 4.200 0.000
0.000 0.000 5.106
Pu Pd Pt
1 1 2
direct
0.000 0.000 0.000
0.333 0.667 0.500
0.333 0.667 0.000
0.667 0.333 0.000
```


# CeNd6Sm2

A geometry-optimized CeNd6Sm2 structure (GGA-PBE, the Alexandria database).

## Properties
Raw total energy ... -42.6 eV/cell
Energy of formation from the pure elements ... 150 meV per atom
Crystal system ... monoclinic
Space-group type ... No. 12

Cell and atoms, written as POSCAR:
```
CeNd6Sm2
1.0
5.239 -3.546 0.000
5.239 3.546 0.000
-2.828 0.000 8.462
Ce Nd Sm
1 6 2
direct
0.000 0.000 0.000
0.202 0.678 0.297
0.322 0.798 0.703
0.337 0.337 0.911
0.663 0.663 0.089
0.678 0.202 0.297
0.798 0.322 0.703
0.224 0.224 0.462
0.776 0.776 0.538
```